! YSi4Ag, optimized geometry, DFT PBE; values from VASP
&SYSTEM
  ibrav = 0, nat = 6, ntyp = 3
/
ATOMIC_SPECIES
Y 88.91 Y.upf
Si 28.09 Si.upf
Ag 107.87 Ag.upf
CELL_PARAMETERS angstrom
0.000 3.707 3.707
3.707 0.000 3.707
3.707 3.707 0.000
ATOMIC_POSITIONS crystal
Y 0.000 0.000 0.000
Si 0.377 0.377 0.377
Si 0.377 0.377 0.869
Si 0.377 0.869 0.377
Si 0.869 0.377 0.377
Ag 0.750 0.750 0.750
! - Size of the total moment: 0.00 μB per formula unit
! - ΔE_f (raw): -0.06 eV per atom
! - SG: No. 216
! - Final energy: -5.2257 eV/atom